1.
Here is a relaxed structure of NpAlH2O6 from Alexandria. Energies are from GGA-PBE.

Properties
Calculated volume   11.15 A^3/atom
DFT total energy   -74.1 eV/f.u.
Crystal system   triclinic

```
data_NpAlH2O6
_chemical_formula_sum 'Np1 Al1 H2 O6'
_space_group_name_H-M_alt 'P 1'
_space_group_IT_number 1
_cell_length_a 5.229
_cell_length_b 5.277
_cell_length_c 5.488
_cell_angle_alpha 116.88
_cell_angle_beta 91.31
_cell_angle_gamma 119.50
loop_
_space_group_symop_operation_xyz
'x,y,z'
loop_
_atom_site_label
_atom_site_type_symbol
_atom_site_fract_x
_atom_site_fract_y
_atom_site_fract_z
_atom_site_occupancy
Np1 Np 0.000 0.000 0.000 1
Al1 Al 0.524 0.028 0.501 1
H1 H 0.067 0.543 0.461 1
H2 H 0.097 0.086 0.565 1
O1 O 0.200 0.557 0.334 1
O2 O 0.257 0.127 0.709 1
O3 O 0.330 0.041 0.200 1
O4 O 0.700 0.997 0.800 1
O5 O 0.780 0.942 0.290 1
O6 O 0.829 0.504 0.698 1
```

***

2.
Here is a relaxed structure of Ti2VRh from Alexandria. Energies are from GGA-PBE.

Properties
Calculated volume   15.00 A^3/atom
D(E_F)   4.355 states/eV per cell
Energy of formation   -0.3944 eV per atom
Crystal system   cubic
Distance to the lowest polymorph of the same formula   0.214 eV/f.u.

```
data_Ti2VRh
_chemical_formula_sum 'Ti2 V1 Rh1'
_space_group_name_H-M_alt 'P 1'
_space_group_IT_number 1
_cell_length_a 4.395
_cell_length_b 4.395
_cell_length_c 4.395
_cell_angle_alpha 60.00
_cell_angle_beta 60.00
_cell_angle_gamma 60.00
loop_
_space_group_symop_operation_xyz
'x,y,z'
loop_
_atom_site_label
_atom_site_type_symbol
_atom_site_fract_x
_atom_site_fract_y
_atom_site_fract_z
_atom_site_occupancy
Ti1 Ti 0.250 0.250 0.250 1
Ti2 Ti 0.750 0.750 0.750 1
V1 V 0.000 0.000 0.000 1
Rh1 Rh 0.500 0.500 0.500 1
```

***

3.
Here is a relaxed structure of NaMn2CdCl8 from Alexandria. Energies are from GGA-PBE.

Properties
Calculated volume   28.26 A^3/atom
ΔE_f (raw)   -1.06 eV per atom
D(E_F)   7.824 states/eV per cell
Crystal system   trigonal

```
data_NaMn2CdCl8
_chemical_formula_sum 'Na1 Mn2 Cd1 Cl8'
_space_group_name_H-M_alt 'P 1'
_space_group_IT_number 1
_cell_length_a 6.679
_cell_length_b 6.679
_cell_length_c 8.778
_cell_angle_alpha 90.00
_cell_angle_beta 90.00
_cell_angle_gamma 120.00
loop_
_space_group_symop_operation_xyz
'x,y,z'
loop_
_atom_site_label
_atom_site_type_symbol
_atom_site_fract_x
_atom_site_fract_y
_atom_site_fract_z
_atom_site_occupancy
Na1 Na 0.000 0.000 0.000 1
Mn1 Mn 0.333 0.667 0.746 1
Mn2 Mn 0.667 0.333 0.254 1
Cd1 Cd 0.000 0.000 0.500 1
Cl1 Cl 0.008 0.317 0.687 1
Cl2 Cl 0.308 0.992 0.687 1
Cl3 Cl 0.317 0.308 0.313 1
Cl4 Cl 0.333 0.667 0.997 1
Cl5 Cl 0.667 0.333 0.003 1
Cl6 Cl 0.683 0.692 0.687 1
Cl7 Cl 0.692 0.008 0.313 1
Cl8 Cl 0.992 0.683 0.313 1
```

***

4.
Here is a relaxed structure of Er3ZrSc3 from Alexandria. Energies are from GGA-PBE.

Properties
Calculated volume   27.24 A^3/atom
D(E_F)   20.644 states/eV per cell
Energy of formation   0.1381 eV per atom
Crystal system   triclinic

```
data_Er3ZrSc3
_chemical_formula_sum 'Er6 Zr2 Sc6'
_space_group_name_H-M_alt 'P 1'
_space_group_IT_number 1
_cell_length_a 5.601
_cell_length_b 6.012
_cell_length_c 12.917
_cell_angle_alpha 94.97
_cell_angle_beta 93.35
_cell_angle_gamma 117.69
loop_
_space_group_symop_operation_xyz
'x,y,z'
loop_
_atom_site_label
_atom_site_type_symbol
_atom_site_fract_x
_atom_site_fract_y
_atom_site_fract_z
_atom_site_occupancy
Er1 Er 0.066 0.060 0.219 1
Er2 Er 0.291 0.629 0.839 1
Er3 Er 0.395 0.742 0.157 1
Er4 Er 0.605 0.258 0.843 1
Er5 Er 0.709 0.371 0.161 1
Er6 Er 0.934 0.940 0.781 1
Zr1 Zr 0.134 0.269 0.001 1
Zr2 Zr 0.866 0.731 0.999 1
Sc1 Sc 0.152 0.498 0.398 1
Sc2 Sc 0.202 0.219 0.587 1
Sc3 Sc 0.497 0.864 0.602 1
Sc4 Sc 0.503 0.136 0.398 1
Sc5 Sc 0.798 0.781 0.413 1
Sc6 Sc 0.848 0.502 0.602 1
```

***

5.
Here is a relaxed structure of Tb12PmSm7 from Alexandria. Energies are from GGA-PBE.

Properties
Calculated volume   33.24 A^3/atom
D(E_F)   18.613 states/eV per cell
Energy of formation   0.2776 eV per atom
Crystal system   trigonal
Distance to the lowest polymorph of the same formula   0.000 eV/f.u.

```
data_Tb12PmSm7
_chemical_formula_sum 'Tb12 Pm1 Sm7'
_space_group_name_H-M_alt 'P 1'
_space_group_IT_number 1
_cell_length_a 8.762
_cell_length_b 8.762
_cell_length_c 8.762
_cell_angle_alpha 94.91
_cell_angle_beta 94.91
_cell_angle_gamma 94.91
loop_
_space_group_symop_operation_xyz
'x,y,z'
loop_
_atom_site_label
_atom_site_type_symbol
_atom_site_fract_x
_atom_site_fract_y
_atom_site_fract_z
_atom_site_occupancy
Tb1 Tb 0.148 0.482 0.416 1
Tb2 Tb 0.185 0.317 0.749 1
Tb3 Tb 0.251 0.815 0.683 1
Tb4 Tb 0.317 0.749 0.185 1
Tb5 Tb 0.416 0.148 0.482 1
Tb6 Tb 0.482 0.416 0.148 1
Tb7 Tb 0.518 0.584 0.852 1
Tb8 Tb 0.584 0.852 0.518 1
Tb9 Tb 0.683 0.251 0.815 1
Tb10 Tb 0.749 0.185 0.317 1
Tb11 Tb 0.815 0.683 0.251 1
Tb12 Tb 0.852 0.518 0.584 1
Pm1 Pm 0.000 0.000 0.000 1
Sm1 Sm 0.020 0.355 0.086 1
Sm2 Sm 0.086 0.020 0.355 1
Sm3 Sm 0.355 0.086 0.020 1
Sm4 Sm 0.500 0.500 0.500 1
Sm5 Sm 0.645 0.914 0.980 1
Sm6 Sm 0.914 0.980 0.645 1
Sm7 Sm 0.980 0.645 0.914 1
```

***

6.
Here is a relaxed structure of Ho4InSe2S from Alexandria. Energies are from GGA-PBE.

Properties
Calculated volume   24.46 A^3/atom
ΔE_f (raw)   -1.41 eV per atom
D(E_F)   3.081 states/eV per cell
Crystal system   monoclinic

```
data_Ho4InSe2S
_chemical_formula_sum 'Ho4 In1 Se2 S1'
_space_group_name_H-M_alt 'P 1'
_space_group_IT_number 1
_cell_length_a 7.179
_cell_length_b 4.000
_cell_length_c 7.188
_cell_angle_alpha 90.00
_cell_angle_beta 108.54
_cell_angle_gamma 90.00
loop_
_space_group_symop_operation_xyz
'x,y,z'
loop_
_atom_site_label
_atom_site_type_symbol
_atom_site_fract_x
_atom_site_fract_y
_atom_site_fract_z
_atom_site_occupancy
Ho1 Ho 0.236 0.000 0.239 1
Ho2 Ho 0.238 0.500 0.744 1
Ho3 Ho 0.762 0.500 0.256 1
Ho4 Ho 0.764 0.000 0.761 1
In1 In 0.500 0.000 0.000 1
Se1 Se 0.000 0.000 0.500 1
Se2 Se 0.500 0.500 0.500 1
S1 S 0.000 0.500 0.000 1
```

***

7.
Here is a relaxed structure of Li4InSn2 from Alexandria. Energies are from GGA-PBE.

Properties
Calculated volume   25.62 A^3/atom
D(E_F)   0.916 states/eV per cell
Energy of formation   -0.0352 eV per atom
Crystal system   tetragonal
Distance to the lowest polymorph of the same formula   1.178 eV/f.u.

```
data_Li4InSn2
_chemical_formula_sum 'Li4 In1 Sn2'
_space_group_name_H-M_alt 'P 1'
_space_group_IT_number 1
_cell_length_a 7.843
_cell_length_b 7.843
_cell_length_c 7.843
_cell_angle_alpha 142.28
_cell_angle_beta 142.28
_cell_angle_gamma 54.41
loop_
_space_group_symop_operation_xyz
'x,y,z'
loop_
_atom_site_label
_atom_site_type_symbol
_atom_site_fract_x
_atom_site_fract_y
_atom_site_fract_z
_atom_site_occupancy
Li1 Li 0.000 0.500 0.500 1
Li2 Li 0.197 0.197 0.000 1
Li3 Li 0.500 0.000 0.500 1
Li4 Li 0.803 0.803 0.000 1
In1 In 0.000 0.000 0.000 1
Sn1 Sn 0.396 0.396 0.000 1
Sn2 Sn 0.604 0.604 0.000 1
```

***

8.
Here is a relaxed structure of Li2Cu from Alexandria. Energies are from GGA-PBE.

Properties
Calculated volume   13.62 A^3/atom
D(E_F)   3.444 states/eV per cell
Energy of formation   0.2023 eV per atom
Crystal system   cubic

```
data_Li2Cu
_chemical_formula_sum 'Li4 Cu2'
_space_group_name_H-M_alt 'P 1'
_space_group_IT_number 1
_cell_length_a 4.871
_cell_length_b 4.871
_cell_length_c 4.871
_cell_angle_alpha 60.00
_cell_angle_beta 60.00
_cell_angle_gamma 60.00
loop_
_space_group_symop_operation_xyz
'x,y,z'
loop_
_atom_site_label
_atom_site_type_symbol
_atom_site_fract_x
_atom_site_fract_y
_atom_site_fract_z
_atom_site_occupancy
Li1 Li 0.000 0.000 0.000 1
Li2 Li 0.000 0.000 0.500 1
Li3 Li 0.000 0.500 0.000 1
Li4 Li 0.500 0.000 0.000 1
Cu1 Cu 0.375 0.375 0.375 1
Cu2 Cu 0.625 0.625 0.625 1
```

***

9.
Here is a relaxed structure of Tm8GeSb5 from Alexandria. Energies are from GGA-PBE.

Properties
Calculated volume   26.24 A^3/atom
ΔE_f (raw)   -0.90 eV per atom
D(E_F)   14.036 states/eV per cell
Crystal system   tetragonal

```
data_Tm8GeSb5
_chemical_formula_sum 'Tm8 Ge1 Sb5'
_space_group_name_H-M_alt 'P 1'
_space_group_IT_number 1
_cell_length_a 7.815
_cell_length_b 7.815
_cell_length_c 7.815
_cell_angle_alpha 109.86
_cell_angle_beta 109.86
_cell_angle_gamma 108.69
loop_
_space_group_symop_operation_xyz
'x,y,z'
loop_
_atom_site_label
_atom_site_type_symbol
_atom_site_fract_x
_atom_site_fract_y
_atom_site_fract_z
_atom_site_occupancy
Tm1 Tm 0.126 0.390 0.119 1
Tm2 Tm 0.130 0.384 0.602 1
Tm3 Tm 0.272 0.008 0.881 1
Tm4 Tm 0.473 0.870 0.254 1
Tm5 Tm 0.610 0.728 0.736 1
Tm6 Tm 0.616 0.219 0.746 1
Tm7 Tm 0.781 0.527 0.398 1
Tm8 Tm 0.992 0.874 0.264 1
Ge1 Ge 0.250 0.750 0.500 1
Sb1 Sb 0.378 0.248 0.368 1
Sb2 Sb 0.500 0.500 0.000 1
Sb3 Sb 0.752 0.119 0.129 1
Sb4 Sb 0.881 0.010 0.632 1
Sb5 Sb 0.990 0.622 0.871 1
```

***

10.
Here is a relaxed structure of GdHoScPd from Alexandria. Energies are from GGA-PBE.

Properties
Calculated volume   24.28 A^3/atom
D(E_F)   4.842 states/eV per cell
Energy of formation   -0.1847 eV per atom
Crystal system   cubic

```
data_GdHoScPd
_chemical_formula_sum 'Gd1 Ho1 Sc1 Pd1'
_space_group_name_H-M_alt 'P 1'
_space_group_IT_number 1
_cell_length_a 5.159
_cell_length_b 5.159
_cell_length_c 5.159
_cell_angle_alpha 60.00
_cell_angle_beta 60.00
_cell_angle_gamma 60.00
loop_
_space_group_symop_operation_xyz
'x,y,z'
loop_
_atom_site_label
_atom_site_type_symbol
_atom_site_fract_x
_atom_site_fract_y
_atom_site_fract_z
_atom_site_occupancy
Gd1 Gd 0.000 0.000 0.000 1
Ho1 Ho 0.500 0.500 0.500 1
Sc1 Sc 0.750 0.750 0.750 1
Pd1 Pd 0.250 0.250 0.250 1
```

***

11.
Here is a relaxed structure of RbLaSe2Br from Alexandria. Energies are from GGA-PBE.

Properties
Calculated volume   40.15 A^3/atom
ΔE_f (raw)   -1.42 eV per atom
D(E_F)   6.278 states/eV per cell
Crystal system   tetragonal
Distance to the lowest polymorph of the same formula   0.000 eV/f.u.

```
data_RbLaSe2Br
_chemical_formula_sum 'Rb1 La1 Se2 Br1'
_space_group_name_H-M_alt 'P 1'
_space_group_IT_number 1
_cell_length_a 5.775
_cell_length_b 5.775
_cell_length_c 6.020
_cell_angle_alpha 90.00
_cell_angle_beta 90.00
_cell_angle_gamma 90.00
loop_
_space_group_symop_operation_xyz
'x,y,z'
loop_
_atom_site_label
_atom_site_type_symbol
_atom_site_fract_x
_atom_site_fract_y
_atom_site_fract_z
_atom_site_occupancy
Rb1 Rb 0.000 0.000 0.000 1
La1 La 0.500 0.500 0.500 1
Se1 Se 0.000 0.500 0.500 1
Se2 Se 0.500 0.000 0.500 1
Br1 Br 0.500 0.500 0.000 1
```

***

12.
Here is a relaxed structure of Nd4Ho2Th from Alexandria. Energies are from GGA-PBE.

Properties
Calculated volume   33.70 A^3/atom
D(E_F)   10.917 states/eV per cell
Energy of formation   0.0417 eV per atom
Crystal system   monoclinic
Distance to the lowest polymorph of the same formula   0.000 eV/f.u.

```
data_Nd4Ho2Th
_chemical_formula_sum 'Nd4 Ho2 Th1'
_space_group_name_H-M_alt 'P 1'
_space_group_IT_number 1
_cell_length_a 3.631
_cell_length_b 3.631
_cell_length_c 20.756
_cell_angle_alpha 95.08
_cell_angle_beta 95.08
_cell_angle_gamma 60.03
loop_
_space_group_symop_operation_xyz
'x,y,z'
loop_
_atom_site_label
_atom_site_type_symbol
_atom_site_fract_x
_atom_site_fract_y
_atom_site_fract_z
_atom_site_occupancy
Nd1 Nd 0.000 0.000 0.000 1
Nd2 Nd 0.090 0.090 0.280 1
Nd3 Nd 0.520 0.520 0.563 1
Nd4 Nd 0.616 0.616 0.850 1
Ho1 Ho 0.708 0.708 0.139 1
Ho2 Ho 0.802 0.802 0.421 1
Th1 Th 0.905 0.905 0.707 1
```